Density functional theory data (PBE) for a relaxed structure of Li2YTcRh.

```
Li2YTcRh
1.0
-2.5670 3.0345 -2.0896
-3.5636 -3.1608 -0.2122
-1.5202 1.4474 3.9696
Li Rh Tc Y
2 1 1 1
direct
0.0000 0.0000 0.5000
0.5000 0.0000 0.0000
0.0000 0.0000 0.0000
0.0000 0.5000 0.0000
0.5000 0.5000 0.5000
```

Summary:
**Spin magnetization**: 0.1 μB per formula unit
**DFT formation energy**: 284 meV/atom

***

Density functional theory data (PBE) for a relaxed structure of CoBTe.

```
CoBTe
1.0
-1.5815 -2.7812 -1.3095
4.0651 -2.9692 1.3965
-1.8725 -0.1659 5.0978
Co Te B
2 2 2
direct
0.1542 0.5000 0.7825
0.1542 0.0000 0.2825
0.1578 0.0000 0.7908
0.1578 0.5000 0.2908
0.6878 0.0000 0.4331
0.6878 0.5000 0.9331
```

Summary:
**Energy relative to the elements, uncorrected**: 14.3 kcal/mol of atoms
**Spin magnetization**: 0.0 μB per formula unit

***

Density functional theory data (PBE) for a relaxed structure of TbDy2NpSb4.

```
TbDy2NpSb4
1.0
4.3890 0.0000 0.0000
0.0000 7.6083 0.1468
0.0000 -2.6536 7.1313
Sb Tb Dy Np
4 1 2 1
direct
0.5000 0.7496 0.7487
0.0000 0.2489 0.7495
0.0000 0.7511 0.2505
0.5000 0.2504 0.2513
0.5000 0.5000 0.0000
0.5000 0.0000 0.5000
0.0000 0.5000 0.5000
0.0000 0.0000 0.0000
```

Summary:
**Energy relative to the elements, uncorrected**: -20.6 kcal/mol of atoms
**Spin magnetization**: 3.9 μB per formula unit

***

Density functional theory data (PBE) for a relaxed structure of Tc2NiAg.

```
Tc2NiAg
1.0
-0.8442 -3.8214 -2.5690
3.8625 -2.6452 -0.0023
-2.4039 1.9249 3.5259
Tc Ni Ag
2 1 1
direct
0.2500 0.7500 0.5000
0.0000 0.0000 0.0000
0.7500 0.2500 0.5000
0.5000 0.5000 0.0000
```

Summary:
**Spin magnetization**: 0.0 μB per formula unit
**DFT formation energy**: 385 meV/atom

***

> Look up the spin magnetization of the first one.

0.1 μB per formula unit